Entry 1:
Entry from the Alexandria database: a relaxed MgB5Ru6 crystal (PBE-GGA).

calculated volume = 143 Å³/cell
energy of formation = -0.138 eV per atom

a = 5.368 Å, b = 5.371 Å, c = 5.752 Å
α = 101.52°, β = 101.41°, γ = 112.84°
Space group P-1 (No. 2)
Inequivalent atoms, fractional coordinates:
Mg1 0.000 0.000 0.000 [1 per cell]
B1 0.103 0.897 0.500 [2 per cell]
B2 0.317 0.683 0.000 [2 per cell]
B3 0.500 0.500 0.500 [1 per cell]
Ru1 0.118 0.557 0.260 [2 per cell]
Ru2 0.335 0.334 0.740 [2 per cell]
Ru3 0.443 0.881 0.740 [2 per cell]

---

Entry 2:
Entry from the Alexandria database: a relaxed Mg2B2Ru crystal (PBE-GGA).

calculated volume = 119 Å³/cell
energy of formation = 0.048 eV per atom

a = 5.809 Å, b = 5.809 Å, c = 3.533 Å
α = 90.00°, β = 90.00°, γ = 90.00°
Space group P4/mbm (No. 127)
Inequivalent atoms, fractional coordinates:
Mg1 0.187 0.313 0.000 [4 per cell]
B1 0.102 0.602 0.500 [4 per cell]
Ru1 0.000 0.000 0.500 [2 per cell]

---

Entry 3:
Entry from the Alexandria database: a relaxed MgB2Ru2 crystal (PBE-GGA).

calculated volume = 108 Å³/cell
energy of formation = -0.249 eV per atom

a = 6.125 Å, b = 6.125 Å, c = 2.879 Å
α = 90.00°, β = 90.00°, γ = 90.00°
Space group P4/mbm (No. 127)
Inequivalent atoms, fractional coordinates:
Mg1 0.000 0.000 0.000 [2 per cell]
B1 0.119 0.381 0.000 [4 per cell]
Ru1 0.160 0.660 0.500 [4 per cell]

---

Entry 4:
Entry from the Alexandria database: a relaxed Mg2B4Ru5 crystal (PBE-GGA).

calculated volume = 252 Å³/cell
energy of formation = -0.354 eV per atom

a = 8.436 Å, b = 10.077 Å, c = 2.958 Å
α = 90.00°, β = 90.00°, γ = 90.00°
Space group Pbam (No. 55)
Inequivalent atoms, fractional coordinates:
Mg1 0.149 0.184 0.000 [4 per cell]
B1 0.039 0.589 0.000 [4 per cell]
B2 0.148 0.897 0.000 [4 per cell]
Ru1 0.000 0.000 0.500 [2 per cell]
Ru2 0.104 0.738 0.500 [4 per cell]
Ru3 0.156 0.453 0.500 [4 per cell]

---

Entry 5:
Entry from the Alexandria database: a relaxed MgB4Ru4 crystal (PBE-GGA).

calculated volume = 219 Å³/cell
energy of formation = -0.237 eV per atom

a = 7.210 Å, b = 7.210 Å, c = 4.208 Å
α = 90.00°, β = 90.00°, γ = 90.00°
Space group P4_2/n (No. 86, origin choice 2)
Inequivalent atoms, fractional coordinates:
Mg1 0.250 0.250 0.250 [2 per cell]
B1 0.066 0.925 0.632 [8 per cell]
Ru1 0.119 0.878 0.134 [8 per cell]

---

Entry 6:
Entry from the Alexandria database: a relaxed MgSc2B2Ru5 crystal (PBE-GGA).

calculated volume = 274 Å³/cell
energy of formation = -0.421 eV per atom

a = 9.458 Å, b = 9.458 Å, c = 3.068 Å
α = 90.00°, β = 90.00°, γ = 90.00°
Space group P4/mbm (No. 127)
Inequivalent atoms, fractional coordinates:
Mg1 0.000 0.000 0.000 [2 per cell]
Sc1 0.175 0.325 0.000 [4 per cell]
B1 0.126 0.626 0.000 [4 per cell]
Ru1 0.000 0.500 0.500 [2 per cell]
Ru2 0.072 0.780 0.500 [8 per cell]

---

Entry 7:
Entry from the Alexandria database: a relaxed MgSc2BRu crystal (PBE-GGA).

calculated volume = 90 Å³/cell
energy of formation = -0.291 eV per atom

a = 4.732 Å, b = 4.732 Å, c = 4.007 Å
α = 90.00°, β = 90.00°, γ = 90.00°
Space group P4/mmm (No. 123)
Inequivalent atoms, fractional coordinates:
Mg1 0.000 0.000 0.000 [1 per cell]
Sc1 0.000 0.500 0.500 [2 per cell]
B1 0.500 0.500 0.500 [1 per cell]
Ru1 0.500 0.500 0.000 [1 per cell]

---

Entry 8:
Entry from the Alexandria database: a relaxed MgSn2BRu crystal (PBE-GGA).

calculated volume = 132 Å³/cell
energy of formation = 0.928 eV per atom

a = 5.096 Å, b = 5.096 Å, c = 5.101 Å
α = 90.00°, β = 90.00°, γ = 90.00°
Space group P4/mmm (No. 123)
Inequivalent atoms, fractional coordinates:
Mg1 0.000 0.000 0.000 [1 per cell]
Sn1 0.000 0.500 0.500 [2 per cell]
B1 0.500 0.500 0.000 [1 per cell]
Ru1 0.000 0.000 0.500 [1 per cell]

---

Entry 9:
Entry from the Alexandria database: a relaxed Mg2SnB2Ru5 crystal (PBE-GGA).

calculated volume = 278 Å³/cell
energy of formation = -0.187 eV per atom

a = 9.652 Å, b = 9.652 Å, c = 2.981 Å
α = 90.00°, β = 90.00°, γ = 90.00°
Space group P4/mbm (No. 127)
Inequivalent atoms, fractional coordinates:
Mg1 0.177 0.323 0.000 [4 per cell]
Sn1 0.000 0.000 0.000 [2 per cell]
B1 0.122 0.622 0.000 [4 per cell]
Ru1 0.000 0.500 0.500 [2 per cell]
Ru2 0.070 0.776 0.500 [8 per cell]

---

Entry 10:
Entry from the Alexandria database: a relaxed Mg2TaB2Ru5 crystal (PBE-GGA).

calculated volume = 273 Å³/cell
energy of formation = -0.238 eV per atom

a = 9.538 Å, b = 9.538 Å, c = 2.998 Å
α = 90.00°, β = 90.00°, γ = 90.00°
Space group P4/mbm (No. 127)
Inequivalent atoms, fractional coordinates:
Mg1 0.177 0.323 0.000 [4 per cell]
Ta1 0.000 0.000 0.000 [2 per cell]
B1 0.121 0.621 0.000 [4 per cell]
Ru1 0.000 0.500 0.500 [2 per cell]
Ru2 0.070 0.781 0.500 [8 per cell]

---

Entry 11:
Entry from the Alexandria database: a relaxed Tb3Mg2BRu3 crystal (PBE-GGA).

calculated volume = 173 Å³/cell
energy of formation = -0.120 eV per atom

a = 7.5861 Å, b = 7.5861 Å, c = 3.4748 Å
α = 90.00°, β = 90.00°, γ = 120.00°
Space group P-62m (No. 189)
Inequivalent atoms, fractional coordinates:
Tb1 0.0000 0.6605 0.0000 [3 per cell]
Mg1 0.3333 0.6667 0.5000 [2 per cell]
B1 0.0000 0.0000 0.0000 [1 per cell]
Ru1 0.0000 0.2188 0.5000 [3 per cell]

---

Entry 12:
Entry from the Alexandria database: a relaxed Tb2MgB2Ru5 crystal (PBE-GGA).

calculated volume = 297 Å³/cell
energy of formation = -0.323 eV per atom

a = 9.713 Å, b = 9.713 Å, c = 3.147 Å
α = 90.00°, β = 90.00°, γ = 90.00°
Space group P4/mbm (No. 127)
Inequivalent atoms, fractional coordinates:
Tb1 0.176 0.324 0.000 [4 per cell]
Mg1 0.000 0.000 0.000 [2 per cell]
B1 0.124 0.624 0.000 [4 per cell]
Ru1 0.000 0.500 0.500 [2 per cell]
Ru2 0.070 0.776 0.500 [8 per cell]

---

Entry 13:
Entry from the Alexandria database: a relaxed Th2MgB2Ru5 crystal (PBE-GGA).

calculated volume = 312 Å³/cell
energy of formation = -0.421 eV per atom

a = 9.825 Å, b = 9.825 Å, c = 3.232 Å
α = 90.00°, β = 90.00°, γ = 90.00°
Space group P4/mbm (No. 127)
Inequivalent atoms, fractional coordinates:
Th1 0.178 0.322 0.000 [4 per cell]
Mg1 0.000 0.000 0.000 [2 per cell]
B1 0.121 0.621 0.000 [4 per cell]
Ru1 0.000 0.500 0.500 [2 per cell]
Ru2 0.070 0.774 0.500 [8 per cell]

---

Entry 14:
Entry from the Alexandria database: a relaxed Mg2B2Ru5W crystal (PBE-GGA).

calculated volume = 268 Å³/cell
energy of formation = -0.177 eV per atom

a = 9.483 Å, b = 9.483 Å, c = 2.983 Å
α = 90.00°, β = 90.00°, γ = 90.00°
Space group P4/mbm (No. 127)
Inequivalent atoms, fractional coordinates:
Mg1 0.177 0.323 0.000 [4 per cell]
B1 0.121 0.621 0.000 [4 per cell]
Ru1 0.000 0.500 0.500 [2 per cell]
Ru2 0.069 0.783 0.500 [8 per cell]
W1 0.000 0.000 0.000 [2 per cell]

---

Entry 15:
Entry from the Alexandria database: a relaxed Y2MgB2Ru5 crystal (PBE-GGA).

calculated volume = 297 Å³/cell
energy of formation = -0.320 eV per atom

a = 9.712 Å, b = 9.712 Å, c = 3.145 Å
α = 90.00°, β = 90.00°, γ = 90.00°
Space group P4/mbm (No. 127)
Inequivalent atoms, fractional coordinates:
Y1 0.177 0.323 0.000 [4 per cell]
Mg1 0.000 0.000 0.000 [2 per cell]
B1 0.124 0.624 0.000 [4 per cell]
Ru1 0.000 0.500 0.500 [2 per cell]
Ru2 0.070 0.775 0.500 [8 per cell]

---

Entry 16:
Entry from the Alexandria database: a relaxed Mg2ZnB2Ru5 crystal (PBE-GGA).

calculated volume = 261 Å³/cell
energy of formation = -0.150 eV per atom

a = 9.424 Å, b = 9.424 Å, c = 2.938 Å
α = 90.00°, β = 90.00°, γ = 90.00°
Space group P4/mbm (No. 127)
Inequivalent atoms, fractional coordinates:
Mg1 0.177 0.323 0.000 [4 per cell]
Zn1 0.000 0.000 0.000 [2 per cell]
B1 0.126 0.626 0.000 [4 per cell]
Ru1 0.000 0.500 0.500 [2 per cell]
Ru2 0.068 0.784 0.500 [8 per cell]

---

Entry 17:
Entry from the Alexandria database: a relaxed MgZrB2Ru crystal (PBE-GGA).

calculated volume = 76 Å³/cell
energy of formation = 1.434 eV per atom

a = 4.133 Å, b = 4.133 Å, c = 4.456 Å
α = 90.00°, β = 90.00°, γ = 90.00°
Space group P4/mmm (No. 123)
Inequivalent atoms, fractional coordinates:
Mg1 0.000 0.000 0.000 [1 per cell]
Zr1 0.500 0.500 0.500 [1 per cell]
B1 0.000 0.500 0.000 [2 per cell]
Ru1 0.000 0.000 0.500 [1 per cell]

---

Entry 18:
Entry from the Alexandria database: a relaxed Mg2ZrBRu crystal (PBE-GGA).

calculated volume = 93 Å³/cell
energy of formation = 0.561 eV per atom

a = 4.783 Å, b = 4.783 Å, c = 4.048 Å
α = 90.00°, β = 90.00°, γ = 90.00°
Space group P4/mmm (No. 123)
Inequivalent atoms, fractional coordinates:
Mg1 0.000 0.500 0.000 [2 per cell]
Zr1 0.000 0.000 0.500 [1 per cell]
B1 0.500 0.500 0.500 [1 per cell]
Ru1 0.500 0.500 0.000 [1 per cell]

---

The magnetization results, record by record, are as follows: 0.00; 0.00; 0.00; 0.00; 0.00; 0.00; 0.00; 0.50; 0.00; 0.00; 0.00; 0.00; 0.00; 0.00; 0.00; 0.01; 0.00; 0.00 μB/cell.
The calculated density results, record by record, are as follows: 7.97; 4.77; 7.63; 7.89; 7.16; 7.76; 4.18; 4.68; 8.30; 9.21; 8.05; 9.72; 10.81; 9.40; 8.16; 8.16; 5.20; 4.51 g/cm³.